Entry 1:
A plane-wave DFT calculation with GGA-PBE was carried out for a geometry-optimized La2NbZnN structure.

```
5
Lattice="-4.139 -1.967 2.550 2.088 -4.800 -0.314 1.940 0.607 3.618" Properties=species:S:1:pos:R:3 pbc="T T T"
La -2.069 -0.984 1.275
La 1.044 -2.400 -0.157
Nb 0.970 0.304 1.809
Zn -0.055 -3.080 2.926
N 0.000 0.000 0.000
```

Output
* N(E_F): 4.87 states/eV/cell
* SG: P4/mmm (123)
* uncorrected formation energy: -0.537 eV per atom
* total magnetization: 1.0 Bohr magnetons per cell

***

Entry 2:
A plane-wave DFT calculation with GGA-PBE was carried out for a geometry-optimized La3NdN2 structure.

```
12
Lattice="3.693 0.000 0.000 0.000 6.350 0.000 0.000 0.000 12.256" Properties=species:S:1:pos:R:3 pbc="T T T"
N 0.000 2.067 4.541
N 1.847 5.242 1.587
N 0.000 4.283 7.715
N 1.847 1.108 10.669
La 0.000 0.000 0.000
La 1.847 3.175 6.128
La 1.847 0.920 3.247
La 1.847 5.430 9.009
La 0.000 2.255 9.374
La 0.000 4.095 2.881
Nd 0.000 0.000 6.128
Nd 1.847 3.175 0.000
```

Output
* N(E_F): 10.64 states/eV/cell
* SG: Pnnm (58)
* uncorrected formation energy: -0.847 eV per atom
* total magnetization: 0.0 Bohr magnetons per cell

***

Entry 3:
A plane-wave DFT calculation with GGA-PBE was carried out for a geometry-optimized LaNd4N4 structure.

```
9
Lattice="-2.179 -2.988 -4.683 5.045 -3.171 -0.324 -3.630 -0.772 5.984" Properties=species:S:1:pos:R:3 pbc="T T T"
N 2.762 -4.048 -0.551
N -2.407 -1.348 3.933
N -0.948 -3.955 -2.790
N -0.935 -4.512 1.361
Nd -1.090 -1.494 -2.342
Nd -1.249 -2.189 1.978
Nd 0.484 -4.742 -1.001
Nd 2.522 -1.585 -0.162
La 0.000 0.000 0.000
```

Output
* N(E_F): 5.09 states/eV/cell
* SG: I-42m (121)
* uncorrected formation energy: -0.643 eV per atom
* total magnetization: 2.4 Bohr magnetons per cell